Computed, not measured: Sr3YI after structural relaxation at the PBE level of DFT.

Unit cell a=6.675 b=6.675 c=6.675 alpha=90.00 beta=90.00 gamma=90.00
Element x y z (fractional)
Sr1 0.000 0.000 0.500
Sr2 0.000 0.500 0.000
Sr3 0.500 0.000 0.000
Y1 0.000 0.000 0.000
I1 0.500 0.500 0.500

- Space group: Pm-3m, No. 221
- ΔE_f (raw): 0.42 eV/atom
- E_tot: -2.188 eV/atom
- Size of the total moment: 3.913 μB per formula unit
- Relative energy among the computed polymorphs: 0.413 eV per atom

---

Computed, not measured: VFeSi after structural relaxation at the PBE level of DFT.

Unit cell a=3.753 b=7.190 c=7.190 alpha=21.69 beta=90.00 gamma=90.00
Element x y z (fractional)
V1 0.000 0.000 0.000
V2 0.500 0.231 0.231
Fe1 0.000 0.663 0.663
Fe2 0.500 0.391 0.391
Si1 0.000 0.826 0.826
Si2 0.500 0.567 0.567

- Space group: Amm2, No. 38
- ΔE_f (raw): -0.40 eV/atom
- E_tot: -8.066 eV/atom
- Size of the total moment: 0.000 μB per formula unit

---

Computed, not measured: Hg2GeIN after structural relaxation at the PBE level of DFT.

Unit cell a=5.712 b=5.712 c=3.891 alpha=90.00 beta=90.00 gamma=90.00
Element x y z (fractional)
Hg1 0.000 0.500 0.000
Hg2 0.500 0.000 0.000
Ge1 0.000 0.000 0.500
I1 0.500 0.500 0.500
N1 0.000 0.000 0.000

- Space group: P4/mmm, No. 123
- ΔE_f (raw): 0.66 eV/atom
- E_tot: -2.361 eV/atom
- Size of the total moment: 0.000 μB per formula unit

---

Computed, not measured: Ho3Mg2Zr6 after structural relaxation at the PBE level of DFT.

Unit cell a=8.265 b=8.265 c=5.144 alpha=90.00 beta=90.00 gamma=120.00
Element x y z (fractional)
Ho1 0.000 0.447 0.000
Ho2 0.447 0.000 0.000
Ho3 0.553 0.553 0.000
Mg1 0.333 0.667 0.500
Mg2 0.667 0.333 0.500
Zr1 0.000 0.218 0.500
Zr2 0.000 0.798 0.000
Zr3 0.202 0.202 0.000
Zr4 0.218 0.000 0.500
Zr5 0.782 0.782 0.500
Zr6 0.798 0.000 0.000

- Space group: P-62m, No. 189
- DFT formation energy: 417 meV per atom
- E_tot: -5.784 eV/atom
- Size of the total moment: 0.002 μB per formula unit

---

Question: Which formula does entry 2 have?
Answer: VFeSi

---

Question: Which of these has the highest E_tot?
Answer: Sr3YI

---

Question: size of the total moment of number 1 (Sr3YI)?
Answer: 3.913 μB per formula unit